Material: YSbF3
Method: DFT, PBE
State: optimized geometry

Geometry as extended XYZ:
```
5
Lattice="-0.8351 0.4802 4.5750 1.3947 -4.4045 0.7169 4.3836 1.4929 0.6434" Properties=species:S:1:pos:R:3 pbc="T T T"
Y 2.4716 -1.2157 2.9677
Sb 0.0000 0.0000 0.0000
F 0.6974 -2.2022 0.3585
F 2.1918 0.7464 0.3217
F -0.4175 0.2401 2.2875
```

Values from the calculation:
Energy above the lowest structure with this stoichiometry (kJ/mol of atoms): 111.1
E (eV/atom): -4.615
Formation energy without anion corrections (meV/atom): -1375
Space-group type: Pm-3m (221)